Here is a crystal of Na4Al2GaSi3BrO12 relaxed with PBEsol from Alexandria. Energies are from SCAN.

Geometry as POSCAR:
```
Na4Al2GaSi3BrO12
1.0
-4.266 1.176 -7.807
4.233 -7.151 -3.393
-6.665 -5.298 2.842
Na Si O Al Ga Br
8 6 24 4 2 2
direct
0.322 0.813 0.314 Na
0.682 0.820 0.689 Na
0.811 0.685 0.177 Na
0.184 0.318 0.185 Na
0.822 0.314 0.813 Na
0.311 0.177 0.685 Na
0.684 0.185 0.318 Na
0.182 0.689 0.820 Na
0.750 0.501 0.496 Si
0.002 0.002 0.249 Si
0.998 0.001 0.752 Si
0.250 0.496 0.501 Si
0.498 0.752 0.001 Si
0.502 0.249 0.002 Si
0.555 0.651 0.142 O
0.073 0.865 0.347 O
0.156 0.636 0.570 O
0.359 0.854 0.060 O
0.933 0.861 0.655 O
0.055 0.142 0.651 O
0.641 0.848 0.944 O
0.939 0.139 0.350 O
0.638 0.146 0.066 O
0.146 0.360 0.438 O
0.847 0.360 0.558 O
0.862 0.937 0.151 O
0.350 0.426 0.636 O
0.439 0.350 0.139 O
0.141 0.944 0.848 O
0.347 0.558 0.360 O
0.362 0.151 0.937 O
0.573 0.347 0.865 O
0.138 0.066 0.146 O
0.850 0.636 0.426 O
0.646 0.438 0.360 O
0.433 0.655 0.861 O
0.656 0.570 0.636 O
0.859 0.060 0.854 O
0.250 0.004 0.999 Al
0.750 0.999 0.004 Al
0.497 0.499 0.250 Al
0.997 0.250 0.499 Al
0.002 0.750 0.499 Ga
0.502 0.499 0.750 Ga
0.500 0.000 0.500 Br
0.000 0.500 0.000 Br
```

## Properties
Space group ... Cc
V ... 723.0 Å³/cell
N(E_F) ... 0.0 states/eV/f.u.
Formation energy without anion corrections ... -2.773 eV/atom
VASP energy ... -236.76 eV/f.u.